1.
Density functional theory data (GGA-PBE) for a relaxed structure of Ba5Au.

POSCAR file:
```
Ba5Au
1.0
4.210 0.000 0.000
0.000 4.210 0.000
0.000 0.000 17.702
Ba Au
5 1
Cartesian
0.000 0.000 0.000
0.000 0.000 6.972
0.000 0.000 10.730
2.105 2.105 3.449
2.105 2.105 14.253
2.105 2.105 8.851
```

total magnetization: 0.03 μB per formula unit
D(E_F): 7.8 states/eV per cell
polymorph energy (0 for the lowest one): 1.3 meV/atom
E: -2.37 eV/atom
symmetry: P4/mmm
DFT formation energy: -0.2177 eV/atom

***

2.
Density functional theory data (GGA-PBE) for a relaxed structure of Tb5Pm2Th.

POSCAR file:
```
Tb5Pm2Th
1.0
7.161 0.000 0.000
0.000 14.343 0.000
0.000 0.000 5.091
Tb Pm Th
10 4 2
Cartesian
0.000 0.000 0.000
0.026 3.605 0.000
1.733 8.929 2.545
1.847 1.758 2.545
3.554 10.777 0.000
3.580 7.172 0.000
3.606 3.567 0.000
5.314 12.585 2.545
5.427 5.414 2.545
7.135 10.738 0.000
1.767 5.404 2.545
1.814 12.576 2.545
5.347 1.767 2.545
5.394 8.939 2.545
0.000 7.172 0.000
3.580 0.000 0.000
```

total magnetization: 0.00 μB per formula unit
D(E_F): 22.6 states/eV per cell
E: -4.98 eV/atom
symmetry: Pbam
DFT formation energy: 0.0275 eV/atom